# NaGeP2O, optimized geometry, DFT GGA-PBE
data_NaGeP2O
_cell_length_a 5.0945
_cell_length_b 5.0945
_cell_length_c 3.5793
_cell_angle_alpha 90.00
_cell_angle_beta 90.00
_cell_angle_gamma 90.00
_symmetry_space_group_name_H-M 'P 4/m m m'
_symmetry_Int_Tables_number 123
_symmetry_space_group_name_Hall '-P 4 2'
loop_
_atom_site_label
_atom_site_fract_x
_atom_site_fract_y
_atom_site_fract_z
Na1 0.0000 0.0000 0.0000
Ge1 0.5000 0.5000 0.5000
P1 0.0000 0.5000 0.5000
O1 0.5000 0.5000 0.0000
# Energy relative to the elements, uncorrected (eV per atom): 0.15
# Polymorph energy (0 for the lowest one) (kJ/mol of formula units): 0.0
# V (Å³ per cell): 92.90
# Total DFT energy (no corrections) (Ry/atom): -0.308
# Calculated density (g cm⁻³): 3.103
# Total magnetization (μB/cell): 0.00

=====

# Na2PaGeO6, optimized geometry, DFT GGA-PBE
data_Na2PaGeO6
_cell_length_a 5.6492
_cell_length_b 5.6492
_cell_length_c 14.0547
_cell_angle_alpha 90.00
_cell_angle_beta 90.00
_cell_angle_gamma 120.00
_symmetry_space_group_name_H-M 'R -3'
_symmetry_Int_Tables_number 148
_symmetry_space_group_name_Hall '-R 3'
loop_
_atom_site_label
_atom_site_fract_x
_atom_site_fract_y
_atom_site_fract_z
Na1 0.0000 0.0000 0.2481
Pa1 0.0000 0.0000 0.0000
Ge1 0.0000 0.0000 0.5000
O1 0.0207 0.4483 0.2448
# Energy relative to the elements, uncorrected (eV per atom): -2.20
# V (Å³ per cell): 388.44
# Total DFT energy (no corrections) (Ry/atom): -0.504
# Calculated density (g cm⁻³): 5.715
# Total magnetization (μB/cell): 3.19

=====

# NaPa2GeO8, optimized geometry, DFT GGA-PBE
data_NaPa2GeO8
_cell_length_a 5.1186
_cell_length_b 5.1186
_cell_length_c 7.4321
_cell_angle_alpha 90.00
_cell_angle_beta 90.00
_cell_angle_gamma 120.00
_symmetry_space_group_name_H-M 'P -3 m 1'
_symmetry_Int_Tables_number 164
_symmetry_space_group_name_Hall '-P 3 2"'
loop_
_atom_site_label
_atom_site_fract_x
_atom_site_fract_y
_atom_site_fract_z
Na1 0.0000 0.0000 0.0000
Pa1 0.3333 0.6667 0.3479
Ge1 0.0000 0.0000 0.5000
O1 0.1728 0.3457 0.6432
O2 0.3333 0.6667 0.0969
# Energy relative to the elements, uncorrected (eV per atom): -2.32
# V (Å³ per cell): 168.64
# Total DFT energy (no corrections) (Ry/atom): -0.566
# Calculated density (g cm⁻³): 6.752
# Total magnetization (μB/cell): 0.00

=====

# Na2GePd2O6, optimized geometry, DFT GGA-PBE
data_Na2GePd2O6
_cell_length_a 5.5790
_cell_length_b 9.0002
_cell_length_c 5.8801
_cell_angle_alpha 90.00
_cell_angle_beta 111.29
_cell_angle_gamma 90.00
_symmetry_space_group_name_H-M 'C 1 2/m 1'
_symmetry_Int_Tables_number 12
_symmetry_space_group_name_Hall '-C 2y'
loop_
_atom_site_label
_atom_site_fract_x
_atom_site_fract_y
_atom_site_fract_z
Na1 0.0000 0.1774 0.0000
Ge1 0.0000 0.0000 0.5000
Pd1 0.0000 0.3329 0.5000
O1 0.2082 0.1592 0.6987
O2 0.2383 0.0000 0.3155
# Energy relative to the elements, uncorrected (eV per atom): -1.07
# V (Å³ per cell): 275.10
# Total DFT energy (no corrections) (Ry/atom): -0.395
# Calculated density (g cm⁻³): 5.160
# Total magnetization (μB/cell): 3.93

=====

# Na4GePd3O8, optimized geometry, DFT GGA-PBE
data_Na4GePd3O8
_cell_length_a 11.9345
_cell_length_b 5.9884
_cell_length_c 6.0922
_cell_angle_alpha 90.00
_cell_angle_beta 116.03
_cell_angle_gamma 90.00
_symmetry_space_group_name_H-M 'C 1 2/m 1'
_symmetry_Int_Tables_number 12
_symmetry_space_group_name_Hall '-C 2y'
loop_
_atom_site_label
_atom_site_fract_x
_atom_site_fract_y
_atom_site_fract_z
Na1 0.0000 0.0000 0.0000
Na2 0.0000 0.5000 0.0000
Na3 0.2500 0.2500 0.5000
Ge1 0.0000 0.0000 0.5000
Pd1 0.0000 0.5000 0.5000
Pd2 0.2500 0.2500 0.0000
O1 0.0348 0.2355 0.3240
O2 0.1850 0.0000 0.7411
O3 0.1893 0.5000 0.7472
# Energy relative to the elements, uncorrected (eV per atom): -1.14
# V (Å³ per cell): 391.23
# Total DFT energy (no corrections) (Ry/atom): -0.383
# Calculated density (g cm⁻³): 5.194
# Total magnetization (μB/cell): 0.00

=====

# NaPmGe2O6, optimized geometry, DFT GGA-PBE
data_NaPmGe2O6
_cell_length_a 10.7027
_cell_length_b 10.1800
_cell_length_c 5.6253
_cell_angle_alpha 90.00
_cell_angle_beta 104.95
_cell_angle_gamma 90.00
_symmetry_space_group_name_H-M 'C 1 2/c 1'
_symmetry_Int_Tables_number 15
_symmetry_space_group_name_Hall '-C 2yc'
loop_
_atom_site_label
_atom_site_fract_x
_atom_site_fract_y
_atom_site_fract_z
Na1 0.0000 0.1595 0.2500
Pm1 0.0000 0.3828 0.7500
Ge1 0.2092 0.0844 0.7528
O1 0.1215 0.4265 0.1518
O2 0.1350 0.2330 0.6529
O3 0.1436 0.0304 0.0041
# Energy relative to the elements, uncorrected (eV per atom): -2.18
# V (Å³ per cell): 592.15
# Total DFT energy (no corrections) (Ry/atom): -0.492
# Calculated density (g cm⁻³): 4.591
# Total magnetization (μB/cell): 0.00

=====

# NaPm4Ge3O12, optimized geometry, DFT GGA-PBE
data_NaPm4Ge3O12
_cell_length_a 8.3856
_cell_length_b 8.3856
_cell_length_c 8.3856
_cell_angle_alpha 90.00
_cell_angle_beta 90.00
_cell_angle_gamma 90.00
_symmetry_space_group_name_H-M 'I m -3'
_symmetry_Int_Tables_number 204
_symmetry_space_group_name_Hall '-I 2 2 3'
loop_
_atom_site_label
_atom_site_fract_x
_atom_site_fract_y
_atom_site_fract_z
Na1 0.0000 0.0000 0.0000
Pm1 0.2500 0.2500 0.2500
Ge1 0.0000 0.0000 0.5000
O1 0.0000 0.3385 0.1548
# Energy relative to the elements, uncorrected (eV per atom): -2.27
# V (Å³ per cell): 589.66
# Total DFT energy (no corrections) (Ry/atom): -0.511
# Calculated density (g cm⁻³): 5.705
# Total magnetization (μB/cell): 0.00

=====

# NaPm2GeO6, optimized geometry, DFT GGA-PBE
data_NaPm2GeO6
_cell_length_a 5.3753
_cell_length_b 5.3753
_cell_length_c 4.9643
_cell_angle_alpha 90.00
_cell_angle_beta 90.00
_cell_angle_gamma 90.00
_symmetry_space_group_name_H-M 'P 4 m m'
_symmetry_Int_Tables_number 99
_symmetry_space_group_name_Hall 'P 4 -2'
loop_
_atom_site_label
_atom_site_fract_x
_atom_site_fract_y
_atom_site_fract_z
Na1 0.0000 0.0000 0.0000
Pm1 0.0000 0.5000 0.4409
Ge1 0.5000 0.5000 0.0431
O1 0.0000 0.0000 0.5585
O2 0.2688 0.2688 0.1700
O3 0.5000 0.5000 0.6816
# Energy relative to the elements, uncorrected (eV per atom): -2.26
# V (Å³ per cell): 143.44
# Total DFT energy (no corrections) (Ry/atom): -0.498
# Calculated density (g cm⁻³): 5.576
# Total magnetization (μB/cell): 0.92

=====

# Na3Pm3GeO8, optimized geometry, DFT GGA-PBE
data_Na3Pm3GeO8
_cell_length_a 6.8739
_cell_length_b 6.8739
_cell_length_c 16.6788
_cell_angle_alpha 90.00
_cell_angle_beta 90.00
_cell_angle_gamma 120.00
_symmetry_space_group_name_H-M 'R -3 m'
_symmetry_Int_Tables_number 166
_symmetry_space_group_name_Hall '-R 3 2"'
loop_
_atom_site_label
_atom_site_fract_x
_atom_site_fract_y
_atom_site_fract_z
Na1 0.0000 0.5000 0.0000
Pm1 0.0000 0.5000 0.5000
Ge1 0.0000 0.0000 0.5000
O1 0.0000 0.0000 0.2382
O2 0.0492 0.5246 0.2319
# Energy relative to the elements, uncorrected (eV per atom): -2.41
# V (Å³ per cell): 682.51
# Total DFT energy (no corrections) (Ry/atom): -0.483
# Calculated density (g cm⁻³): 5.143
# Total magnetization (μB/cell): 0.00

=====

# Na4Pm3GeO8, optimized geometry, DFT GGA-PBE
data_Na4Pm3GeO8
_cell_length_a 6.9260
_cell_length_b 6.9260
_cell_length_c 16.8515
_cell_angle_alpha 90.00
_cell_angle_beta 90.00
_cell_angle_gamma 120.00
_symmetry_space_group_name_H-M 'R -3 m'
_symmetry_Int_Tables_number 166
_symmetry_space_group_name_Hall '-R 3 2"'
loop_
_atom_site_label
_atom_site_fract_x
_atom_site_fract_y
_atom_site_fract_z
Na1 0.0000 0.0000 0.0000
Na2 0.0000 0.5000 0.0000
Pm1 0.0000 0.5000 0.5000
Ge1 0.0000 0.0000 0.5000
O1 0.0000 0.0000 0.2392
O2 0.0216 0.5108 0.2370
# Energy relative to the elements, uncorrected (eV per atom): -2.27
# V (Å³ per cell): 700.05
# Total DFT energy (no corrections) (Ry/atom): -0.460
# Calculated density (g cm⁻³): 5.178
# Total magnetization (μB/cell): 0.00

=====

# NaPrGe2O6, optimized geometry, DFT GGA-PBE
data_NaPrGe2O6
_cell_length_a 10.7622
_cell_length_b 10.4324
_cell_length_c 5.5812
_cell_angle_alpha 90.00
_cell_angle_beta 104.25
_cell_angle_gamma 90.00
_symmetry_space_group_name_H-M 'C 1 2/c 1'
_symmetry_Int_Tables_number 15
_symmetry_space_group_name_Hall '-C 2yc'
loop_
_atom_site_label
_atom_site_fract_x
_atom_site_fract_y
_atom_site_fract_z
Na1 0.0000 0.1485 0.2500
Pr1 0.0000 0.3785 0.7500
Ge1 0.2093 0.0831 0.7525
O1 0.1232 0.4283 0.1553
O2 0.1341 0.2267 0.6478
O3 0.1443 0.0327 0.0096
# Energy relative to the elements, uncorrected (eV per atom): -2.16
# V (Å³ per cell): 607.35
# Total DFT energy (no corrections) (Ry/atom): -0.490
# Calculated density (g cm⁻³): 4.431
# Total magnetization (μB/cell): 0.00

=====

# NaPr2GeO5, optimized geometry, DFT GGA-PBE
data_NaPr2GeO5
_cell_length_a 6.8681
_cell_length_b 6.8681
_cell_length_c 5.8510
_cell_angle_alpha 90.00
_cell_angle_beta 90.00
_cell_angle_gamma 90.00
_symmetry_space_group_name_H-M 'P 4/m b m'
_symmetry_Int_Tables_number 127
_symmetry_space_group_name_Hall '-P 4 2ab'
loop_
_atom_site_label
_atom_site_fract_x
_atom_site_fract_y
_atom_site_fract_z
Na1 0.0000 0.0000 0.0000
Pr1 0.1778 0.3222 0.5000
Ge1 0.0000 0.5000 0.0000
O1 0.0000 0.0000 0.5000
O2 0.1346 0.6346 0.2421
# Energy relative to the elements, uncorrected (eV per atom): -2.26
# V (Å³ per cell): 275.99
# Total DFT energy (no corrections) (Ry/atom): -0.495
# Calculated density (g cm⁻³): 5.505
# Total magnetization (μB/cell): 1.84

=====

# NaPr2GeO6, optimized geometry, DFT GGA-PBE
data_NaPr2GeO6
_cell_length_a 5.5727
_cell_length_b 5.9437
_cell_length_c 9.5884
_cell_angle_alpha 90.00
_cell_angle_beta 124.06
_cell_angle_gamma 90.00
_symmetry_space_group_name_H-M 'P 1 21/c 1'
_symmetry_Int_Tables_number 14
_symmetry_space_group_name_Hall '-P 2ybc'
loop_
_atom_site_label
_atom_site_fract_x
_atom_site_fract_y
_atom_site_fract_z
Na1 0.0000 0.0000 0.0000
Pr1 0.2242 0.0686 0.7460
Ge1 0.5000 0.0000 0.5000
O1 0.1705 0.1716 0.4517
O2 0.2684 0.7260 0.4346
O3 0.3862 0.0448 0.2744
# Energy relative to the elements, uncorrected (eV per atom): -2.38
# V (Å³ per cell): 263.10
# Total DFT energy (no corrections) (Ry/atom): -0.508
# Calculated density (g cm⁻³): 5.976
# Total magnetization (μB/cell): 2.16

=====

# Na2PrGeO5, optimized geometry, DFT GGA-PBE
data_Na2PrGeO5
_cell_length_a 9.6383
_cell_length_b 7.6485
_cell_length_c 6.8382
_cell_angle_alpha 90.00
_cell_angle_beta 90.00
_cell_angle_gamma 90.00
_symmetry_space_group_name_H-M 'P n m a'
_symmetry_Int_Tables_number 62
_symmetry_space_group_name_Hall '-P 2ac 2n'
loop_
_atom_site_label
_atom_site_fract_x
_atom_site_fract_y
_atom_site_fract_z
Na1 0.1874 0.0355 0.1189
Pr1 0.0405 0.2500 0.6291
Ge1 0.0849 0.7500 0.8230
O1 0.0369 0.2500 0.9857
O2 0.0614 0.5688 0.6643
O3 0.2133 0.7500 0.2660
O4 0.2399 0.2500 0.4059
# Energy relative to the elements, uncorrected (eV per atom): -2.02
# V (Å³ per cell): 504.10
# Total DFT energy (no corrections) (Ry/atom): -0.449
# Calculated density (g cm⁻³): 4.474
# Total magnetization (μB/cell): 4.04

=====

# NaGePtO, optimized geometry, DFT GGA-PBE
data_NaGePtO
_cell_length_a 2.7877
_cell_length_b 3.6349
_cell_length_c 12.4150
_cell_angle_alpha 90.00
_cell_angle_beta 90.00
_cell_angle_gamma 90.00
_symmetry_space_group_name_H-M 'A m m 2'
_symmetry_Int_Tables_number 38
_symmetry_space_group_name_Hall 'A 2 -2'
loop_
_atom_site_label
_atom_site_fract_x
_atom_site_fract_y
_atom_site_fract_z
Na1 0.0000 0.0000 0.0000
Ge1 0.0000 0.0000 0.7117
Pt1 0.5000 0.0000 0.3048
O1 0.5000 0.0000 0.6010
# Energy relative to the elements, uncorrected (eV per atom): -0.88
# Polymorph energy (0 for the lowest one) (kJ/mol of formula units): 40.2
# V (Å³ per cell): 125.80
# Total DFT energy (no corrections) (Ry/atom): -0.376
# Calculated density (g cm⁻³): 8.097
# Total magnetization (μB/cell): 0.00

=====

# NaGe2PtO6, optimized geometry, DFT GGA-PBE
data_NaGe2PtO6
_cell_length_a 10.2978
_cell_length_b 8.5574
_cell_length_c 5.4714
_cell_angle_alpha 90.00
_cell_angle_beta 97.55
_cell_angle_gamma 90.00
_symmetry_space_group_name_H-M 'C 1 2/c 1'
_symmetry_Int_Tables_number 15
_symmetry_space_group_name_Hall '-C 2yc'
loop_
_atom_site_label
_atom_site_fract_x
_atom_site_fract_y
_atom_site_fract_z
Na1 0.0000 0.1210 0.2500
Ge1 0.2439 0.4271 0.0143
Pt1 0.0000 0.2563 0.7500
O1 0.1351 0.2499 0.0578
O2 0.1460 0.0731 0.6773
O3 0.1488 0.4318 0.6968
# Energy relative to the elements, uncorrected (eV per atom): -1.22
# V (Å³ per cell): 477.97
# Total DFT energy (no corrections) (Ry/atom): -0.430
# Calculated density (g cm⁻³): 6.383
# Total magnetization (μB/cell): 0.00

=====

# NaGePtO, optimized geometry, DFT GGA-PBE
data_NaGePtO
_cell_length_a 8.7782
_cell_length_b 3.6554
_cell_length_c 5.1190
_cell_angle_alpha 90.00
_cell_angle_beta 98.73
_cell_angle_gamma 90.00
_symmetry_space_group_name_H-M 'C 1 m 1'
_symmetry_Int_Tables_number 8
_symmetry_space_group_name_Hall 'C -2y'
loop_
_atom_site_label
_atom_site_fract_x
_atom_site_fract_y
_atom_site_fract_z
Na1 0.0000 0.0000 0.0000
Ge1 0.3202 0.0000 0.4432
Pt1 0.1502 0.5000 0.5028
O1 0.4726 0.0000 0.7317
# Energy relative to the elements, uncorrected (eV per atom): -0.71
# Polymorph energy (0 for the lowest one) (kJ/mol of formula units): 107.0
# V (Å³ per cell): 162.35
# Total DFT energy (no corrections) (Ry/atom): -0.363
# Calculated density (g cm⁻³): 6.274
# Total magnetization (μB/cell): 0.00

=====

# NaGePtO, optimized geometry, DFT GGA-PBE
data_NaGePtO
_cell_length_a 3.2958
_cell_length_b 3.2958
_cell_length_c 12.0886
_cell_angle_alpha 90.00
_cell_angle_beta 90.00
_cell_angle_gamma 90.00
_symmetry_space_group_name_H-M 'I 4 m m'
_symmetry_Int_Tables_number 107
_symmetry_space_group_name_Hall 'I 4 -2'
loop_
_atom_site_label
_atom_site_fract_x
_atom_site_fract_y
_atom_site_fract_z
Na1 0.0000 0.0000 0.0000
Ge1 0.0000 0.0000 0.3021
Pt1 0.0000 0.0000 0.7244
O1 0.0000 0.0000 0.4472
# Energy relative to the elements, uncorrected (eV per atom): -0.99
# Polymorph energy (0 for the lowest one) (kJ/mol of formula units): 0.0
# V (Å³ per cell): 131.31
# Total DFT energy (no corrections) (Ry/atom): -0.384
# Calculated density (g cm⁻³): 7.757
# Total magnetization (μB/cell): 0.00